A plane-wave DFT calculation with PBE was carried out for a geometry-optimized BaBeNiPb structure.

Cell lengths 5.009, 5.009, 5.009 Å; angles 60.00, 60.00, 60.00 degrees
Sites, in units of the cell vectors:
Ba: 0.000 0.000 0.000
Be: 0.750 0.750 0.750
Ni: 0.250 0.250 0.250
Pb: 0.500 0.500 0.500

Values from the calculation:
* excess energy over the best structure of this formula in the dataset: 0.000 eV/atom
* space group: F-43m
* theoretical density: 7.7 Mg/m³